This record from Alexandria via LeMat-Bulk describes a PBEsol-optimized structure of CsGa3Sn. The functional is SCAN.

Cell lengths 5.510, 5.510, 5.510 Å; angles 90.00, 90.00, 90.00 degrees
Positions (direct):
Ga (0.000, 0.500, 0.000)
Ga (0.000, 0.000, 0.500)
Ga (0.500, 0.000, 0.000)
Sn (0.000, 0.000, 0.000)
Cs (0.500, 0.500, 0.500)

Calculated values
The value obtained for the formation energy from the elements is 0.319 eV per atom. As for the calculated total energy: -1.781 Ry per atom. As for the space group: Pm-3m (221). For the volume, the calculation gives 33.464 Å³ per atom. Its mass density is 4.57 g cm⁻³.